(1)
Density functional theory data (PBE) for crystalline Cs2CdBr6Cl at its relaxed geometry.

## Properties
E_tot   -23.031 eV per cell
SG   I4/mmm (139)
Crystal system   tetragonal
Formation energy (no corrections)   -0.852 eV per atom

Cell and atoms, written as POSCAR:
```
Cs2CdBr6Cl
1.0
7.846 0.000 0.000
0.000 7.846 0.000
3.923 3.923 6.100
Br Cs Cl Cd
6 2 1 1
direct
0.785 0.785 0.430 Br
0.256 0.256 0.000 Br
0.256 0.744 0.000 Br
0.215 0.215 0.570 Br
0.744 0.744 0.000 Br
0.744 0.256 0.000 Br
0.750 0.250 0.500 Cs
0.250 0.750 0.500 Cs
0.500 0.500 0.000 Cl
0.000 0.000 0.000 Cd
```

=====

(2)
Density functional theory data (PBE) for crystalline LiNiRu3 at its relaxed geometry.

## Properties
Formation enthalpy at 0 K   6.95 eV/f.u.
E_tot   -28.571 eV per cell
SG   Pm-3m (221)
Crystal system   cubic

Cell and atoms, written as POSCAR:
```
LiNiRu3
1.0
4.502 0.000 0.000
0.000 4.502 0.000
0.000 0.000 4.502
Ru Li Ni
3 1 1
direct
0.500 0.000 0.000 Ru
0.000 0.500 0.000 Ru
0.000 0.000 0.500 Ru
0.500 0.500 0.500 Li
0.000 0.000 0.000 Ni
```